{"formula": "TcGe4Pt", "functional": "GGA-PBE", "state": "optimized geometry", "formation_energy_ev_per_fu": -0.42, "magmom_total_mub_per_cell": 0.00, "spacegroup": "Pnc2, No. 30", "mass_density_kg_m3": 8089, "cell": [[5.4760, 0.0000, 0.0000], [0.0000, 6.1165, 0.0000], [0.0000, 0.0000, 7.1544]], "species": ["Tc", "Tc", "Ge", "Ge", "Ge", "Ge", "Ge", "Ge", "Ge", "Ge", "Pt", "Pt"], "frac_coords": [[0.0000, 0.0000, 0.0000], [0.0000, 0.5000, 0.5000], [0.1411, 0.2380, 0.7432], [0.1411, 0.2620, 0.2432], [0.3433, 0.7493, 0.9416], [0.3433, 0.7507, 0.4416], [0.6567, 0.2493, 0.4416], [0.6567, 0.2507, 0.9416], [0.8589, 0.7380, 0.2432], [0.8589, 0.7620, 0.7432], [0.5000, 0.0000, 0.1946], [0.5000, 0.5000, 0.6946]]}